A plane-wave DFT calculation with PBE was carried out for a geometry-optimized Nd6Co2PtBr3 structure.

For the formation energy from raw total energies, the calculation gives -903 meV/atom.

```
data_Nd6Co2PtBr3
_symmetry_space_group_name_H-M 'C 1 2/m 1'
_symmetry_Int_Tables_number 12
_cell_length_a 7.074
_cell_length_b 12.257
_cell_length_c 8.123
_cell_angle_alpha 90.00
_cell_angle_beta 106.83
_cell_angle_gamma 90.00
loop_
_symmetry_equiv_pos_as_xyz
'x,y,z'
'-x,-y,-z'
'-x,y,-z'
'x,-y,z'
'x+1/2,y+1/2,z'
'-x+1/2,-y+1/2,-z'
'-x+1/2,y+1/2,-z'
'x+1/2,-y+1/2,z'
loop_
_atom_site_label
_atom_site_type_symbol
_atom_site_fract_x
_atom_site_fract_y
_atom_site_fract_z
Nd1 Nd 0.214 0.000 0.193
Nd2 Nd 0.239 0.325 0.194
Co1 Co 0.000 0.167 0.000
Pt1 Pt 0.000 0.500 0.000
Br1 Br 0.000 0.000 0.500
Br2 Br 0.000 0.332 0.500
```